# Sr2Sn4Ir3Pt

A geometry-optimized Sr2Sn4Ir3Pt structure (PBE, Alexandria).

Computed properties:
Crystal system: tetragonal
DFT formation energy in eV/atom: -0.52

Cell: 4.6336 4.6336 10.7474 Å, 90.00 90.00 90.00°
Element x y z (fractional)
Sr 0.5000 0.0000 0.2550
Sr 0.0000 0.5000 0.7450
Sn 0.5000 0.5000 0.0000
Sn 0.0000 0.0000 0.0000
Sn 0.5000 0.0000 0.6272
Sn 0.0000 0.5000 0.3728
Ir 0.0000 0.0000 0.5000
Ir 0.0000 0.5000 0.1274
Ir 0.5000 0.0000 0.8726
Pt 0.5000 0.5000 0.5000

# LiZn3

A geometry-optimized LiZn3 structure (PBE, Alexandria).

Computed properties:
Crystal system: monoclinic
DFT formation energy in eV/atom: -0.12

Cell: 4.2742 2.6621 5.3089 Å, 77.18 90.00 90.00°
Element x y z (fractional)
Zn 0.0000 0.5000 0.5000
Zn 0.5000 0.7064 0.7510
Zn 0.5000 0.2936 0.2490
Li 0.0000 0.0000 0.0000

# KZrCr2

A geometry-optimized KZrCr2 structure (PBE, Alexandria).

Computed properties:
Excess energy over the best structure of this formula in the dataset in eV/atom: 0.814
Crystal system: orthorhombic
DFT formation energy in eV/atom: 1.41

Cell: 3.3025 5.6032 4.9515 Å, 90.00 90.00 90.00°
Element x y z (fractional)
Cr 0.5000 0.5000 0.0000
Cr 0.0000 0.0000 0.0000
K 0.5000 0.0000 0.5000
Zr 0.0000 0.5000 0.5000

# CoSi2Os

A geometry-optimized CoSi2Os structure (PBE, Alexandria).

Computed properties:
E_form (uncorrected) in meV/atom: -8
Crystal system: orthorhombic

Cell: 2.7889 2.7889 7.4148 Å, 90.00 90.00 116.81°
Element x y z (fractional)
Si 0.0000 0.0000 0.4846
Si 0.0000 0.0000 0.0154
Os 0.5000 0.5000 0.7500
Co 0.5000 0.5000 0.2500

no.,energy (eV per cell),spin magnetization (μB per cell)
1,-57.2,0.000
2,-6.2,0.000
3,-23.3,6.752
4,-29.2,0.000